Model A:
DFT (PBE) results for crystalline ZrPaSb2 at its relaxed geometry.

The space group is Fm-3m (No. 225) and the conventional cell measures 7.301, 7.301 and 7.301 Å, with angles of 90.00, 90.00 and 90.00 degrees. The inequivalent atoms are Zr at (0.000, 0.000, 0.000), Pa at (0.000, 0.000, 0.500) and Sb at (0.250, 0.250, 0.250).

The calculation puts the density at 9.66 g cm⁻³. The calculation puts the density of states at the Fermi level at 1.41 states/eV per atom. The spin magnetization comes out at 2.67 μB/cell.



Model B:
DFT (PBE) results for crystalline ZrPaSb2 at its relaxed geometry.

The space group is P4/mmm (No. 123) and the conventional cell measures 5.118, 5.118 and 3.719 Å, with angles of 90.00, 90.00 and 90.00 degrees. The inequivalent atoms are Zr at (0.000, 0.000, 0.000), Pa at (0.500, 0.500, 0.000) and Sb at (0.000, 0.500, 0.500).

The calculation puts the density at 9.65 g cm⁻³. The calculation puts the density of states at the Fermi level at 1.48 states/eV per atom. The spin magnetization comes out at 0.01 μB/cell.



It is model A that is the most stable of them.



Model A:
DFT (PBE) results for crystalline ScPa3 at its relaxed geometry.

The space group is Imm2 (No. 44) and the conventional cell measures 3.126, 10.783 and 5.757 Å, with angles of 90.00, 90.00 and 90.00 degrees. The inequivalent atoms are Sc at (0.000, 0.000, 0.000), Pa at (0.000, 0.260, 0.755) and Pa at (0.000, 0.500, 0.011).

The calculation puts the density at 12.63 g cm⁻³. The calculation puts the density of states at the Fermi level at 2.18 states/eV per atom. The spin magnetization comes out at 0.00 μB/cell.



Model B:
DFT (PBE) results for crystalline ScPa3 at its relaxed geometry.

The space group is Pmm2 (No. 25) and the conventional cell measures 3.130, 5.453 and 5.683 Å, with angles of 90.00, 90.00 and 90.00 degrees. The inequivalent atoms are Sc at (0.000, 0.000, 0.000), Pa at (0.000, 0.500, 0.264), Pa at (0.500, 0.000, 0.494) and Pa at (0.500, 0.500, 0.768).

The calculation puts the density at 12.64 g cm⁻³. The calculation puts the density of states at the Fermi level at 2.21 states/eV per atom. The spin magnetization comes out at 0.00 μB/cell.



It is model A that is the most stable of them.



Model A:
DFT (PBE) results for crystalline ScPa3 at its relaxed geometry.

The space group is Pm-3m (No. 221) and the conventional cell measures 4.620, 4.620 and 4.620 Å, with angles of 90.00, 90.00 and 90.00 degrees. The inequivalent atoms are Sc at (0.000, 0.000, 0.000) and Pa at (0.000, 0.500, 0.500).

The calculation puts the density at 12.43 g cm⁻³. The calculation puts the density of states at the Fermi level at 2.17 states/eV per atom. The spin magnetization comes out at 0.00 μB/cell.



Model B:
DFT (PBE) results for crystalline ScPa3 at its relaxed geometry.

The space group is Fm-3m (No. 225) and the conventional cell measures 7.301, 7.301 and 7.301 Å, with angles of 90.00, 90.00 and 90.00 degrees. The inequivalent atoms are Sc at (0.000, 0.000, 0.000), Pa at (0.000, 0.000, 0.500) and Pa at (0.250, 0.250, 0.250).

The calculation puts the density at 12.60 g cm⁻³. The calculation puts the density of states at the Fermi level at 2.61 states/eV per atom. The spin magnetization comes out at 0.00 μB/cell.



It is model A that is the most stable of them.



Model A:
DFT (PBE) results for crystalline ScPa4 at its relaxed geometry.

The space group is Pm-3m (No. 221) and the conventional cell measures 5.201, 5.201 and 5.201 Å, with angles of 90.00, 90.00 and 90.00 degrees. The inequivalent atoms are Sc at (0.000, 0.000, 0.000), Pa at (0.000, 0.000, 0.500) and Pa at (0.500, 0.500, 0.500).

The calculation puts the density at 11.44 g cm⁻³. The calculation puts the density of states at the Fermi level at 2.68 states/eV per atom. The spin magnetization comes out at 0.00 μB/cell.



Model B:
DFT (PBE) results for crystalline ScPa4 at its relaxed geometry.

The space group is Fmmm (No. 69) and the conventional cell measures 3.200, 5.507 and 27.867 Å, with angles of 90.00, 90.00 and 90.00 degrees. The inequivalent atoms are Sc at (0.000, 0.000, 0.000), Pa at (0.000, 0.000, 0.200) and Pa at (0.000, 0.000, 0.399).

The calculation puts the density at 13.11 g cm⁻³. The calculation puts the density of states at the Fermi level at 1.94 states/eV per atom. The spin magnetization comes out at 0.00 μB/cell.



It is model B that is the most stable of them.